## Te2WIF (PBE+U)

Data for a relaxed Te2WIF crystal.

Lattice parameters (Å, degrees): 4.661 4.661 6.879 90.00 90.00 90.00
Space group P4/mmm (No. 123)
Symmetry-distinct sites (fractional):
Te1 0.000 0.500 0.000
W1 0.000 0.000 0.500
I1 0.500 0.500 0.500
F1 0.500 0.500 0.000

- DFT total energy: -14.83 eV/cell
- Energy above the most stable polymorph in this dataset: 0.0 meV per atom